[1]
The following is a DFT calculation (PBE) of crystalline SrCrFe2 at its relaxed geometry.

size of the total moment = 2.2434 μB/atom
E above lowest polymorph = 0.601 eV/atom

a = 6.6431 Å, b = 6.6431 Å, c = 6.6431 Å
α = 90.00°, β = 90.00°, γ = 90.00°
Space group F-43m (No. 216)
One atom of each set of equivalent atoms:
Sr 0.0000 0.0000 0.0000
Cr 0.2500 0.2500 0.7500
Fe 0.0000 0.0000 0.5000
Fe 0.2500 0.2500 0.2500

***

[2]
The following is a DFT calculation (PBE) of crystalline SrCr2Fe at its relaxed geometry.

size of the total moment = 0.6864 μB/atom
E above lowest polymorph = 0.456 eV/atom

a = 3.2115 Å, b = 4.7527 Å, c = 4.9933 Å
α = 90.00°, β = 90.00°, γ = 90.00°
Space group Pmmm (No. 47)
One atom of each set of equivalent atoms:
Sr 0.0000 0.0000 0.0000
Cr 0.0000 0.5000 0.5000
Cr 0.5000 0.0000 0.5000
Fe 0.5000 0.5000 0.0000

***

[3]
The following is a DFT calculation (PBE) of crystalline SrCrFe2 at its relaxed geometry.

size of the total moment = 0.4801 μB/atom
E above lowest polymorph = 0.000 eV/atom

a = 7.0731 Å, b = 4.0684 Å, c = 6.1727 Å
α = 90.00°, β = 112.33°, γ = 90.00°
Space group Cm (No. 8)
One atom of each set of equivalent atoms:
Sr 0.0000 0.0000 0.0000
Cr 0.1877 0.0000 0.5616
Fe 0.0176 0.5000 0.5521
Fe 0.3066 0.5000 0.4183

***

Which formula does entry 3 have?
SrCrFe2